# 1
# Cs2ThIBr5, relaxed, DFT PBE
# * V: 806 Å³/cell
# * raw formation energy: -1.77 eV/atom
# * M_tot: 0.00 μB per formula unit
data_Cs2ThIBr5
_chemical_formula_sum 'Cs4 Th2 I2 Br10'
_space_group_name_H-M_alt 'I 4 m m'
_space_group_IT_number 107
_space_group_name_Hall 'I 4 -2'
_cell_length_a 8.268
_cell_length_b 8.268
_cell_length_c 11.794
_cell_angle_alpha 90.00
_cell_angle_beta 90.00
_cell_angle_gamma 90.00
loop_
_atom_site_label
_atom_site_fract_x
_atom_site_fract_y
_atom_site_fract_z
Cs1 0.000 0.500 0.000
Th1 0.000 0.000 0.250
I1 0.000 0.000 0.987
Br1 0.000 0.000 0.491
Br2 0.243 0.243 0.246


# 2
# Cs2ThI4Br2, relaxed, DFT PBE
# * V: 880 Å³/cell
# * raw formation energy: -1.56 eV/atom
# * M_tot: 0.00 μB per formula unit
data_Cs2ThI4Br2
_chemical_formula_sum 'Cs4 Th2 I8 Br4'
_space_group_name_H-M_alt 'C 1 2/m 1'
_space_group_IT_number 12
_cell_length_a 14.353
_cell_length_b 8.650
_cell_length_c 7.144
_cell_angle_alpha 90.00
_cell_angle_beta 97.02
_cell_angle_gamma 90.00
loop_
_space_group_symop_operation_xyz
'x,y,z'
'-x,-y,-z'
'-x,y,-z'
'x,-y,z'
'x+1/2,y+1/2,z'
'-x+1/2,-y+1/2,-z'
'-x+1/2,y+1/2,-z'
'x+1/2,-y+1/2,z'
loop_
_atom_site_label
_atom_site_fract_x
_atom_site_fract_y
_atom_site_fract_z
Cs1 0.163 0.000 0.276
Th1 0.000 0.500 0.000
I1 0.097 0.245 0.791
Br1 0.153 0.500 0.287


# 3
# Cs2ThIBr6, relaxed, DFT PBE
# * V: 542 Å³/cell
# * raw formation energy: -1.52 eV/atom
# * M_tot: 1.03 μB per formula unit
data_Cs2ThIBr6
_chemical_formula_sum 'Cs2 Th1 I1 Br6'
_space_group_name_H-M_alt 'P -3 m 1'
_space_group_IT_number 164
_space_group_name_Hall '-P 3 2"'
_cell_length_a 8.0535
_cell_length_b 8.0535
_cell_length_c 9.6428
_cell_angle_alpha 90.00
_cell_angle_beta 90.00
_cell_angle_gamma 120.00
loop_
_atom_site_label
_atom_site_fract_x
_atom_site_fract_y
_atom_site_fract_z
Cs1 0.3333 0.6667 0.3393
Th1 0.0000 0.0000 0.5000
I1 0.0000 0.0000 0.0000
Br1 0.1681 0.3363 0.6680


# 4
# Cs2TiI5Br, relaxed, DFT PBE
# * V: 803 Å³/cell
# * raw formation energy: -1.18 eV/atom
# * M_tot: 0.00 μB per formula unit
data_Cs2TiI5Br
_chemical_formula_sum 'Cs4 Ti2 I10 Br2'
_space_group_name_H-M_alt 'I 4 m m'
_space_group_IT_number 107
_space_group_name_Hall 'I 4 -2'
_cell_length_a 8.302
_cell_length_b 8.302
_cell_length_c 11.648
_cell_angle_alpha 90.00
_cell_angle_beta 90.00
_cell_angle_gamma 90.00
loop_
_atom_site_label
_atom_site_fract_x
_atom_site_fract_y
_atom_site_fract_z
Cs1 0.000 0.500 0.000
Ti1 0.000 0.000 0.245
I1 0.000 0.000 0.485
I2 0.237 0.237 0.250
Br1 0.000 0.000 0.031